1.
Compound: YMn2SbTe
Source: Alexandria via LeMat-Bulk
Functional: meta-GGA SCAN
Structure: single point on PBEsol structure

Geometry as extended XYZ:
```
5
Lattice="4.737 0.000 0.000 0.000 4.737 0.000 0.000 0.000 5.960" Properties=species:S:1:pos:R:3 pbc="T T T"
Y 0.000 0.000 0.000
Mn 0.000 2.368 2.980
Mn 2.368 0.000 2.980
Sb 2.368 2.368 0.000
Te 2.368 2.368 2.980
```

Values from the calculation:
For the magnetization, the calculation gives 6.5 μB per formula unit. As for the crystal system: tetragonal. As for the energy relative to the elements, uncorrected: 0.3196 eV per atom. As for the total DFT energy (no corrections): -137.27 eV for the cell shown.

***

2.
Compound: Cu3Br
Source: Alexandria via LeMat-Bulk
Functional: meta-GGA SCAN
Structure: single point on PBEsol structure

Geometry as extended XYZ:
```
4
Lattice="4.091 2.362 1.002 -4.091 2.362 1.002 0.000 -4.723 1.002" Properties=species:S:1:pos:R:3 pbc="T T T"
Cu -2.045 -1.181 1.002
Cu -2.045 1.181 2.004
Cu 0.000 2.362 1.002
Br 0.000 0.000 0.000
```

Values from the calculation:
For the magnetization, the calculation gives 0.0 μB per formula unit. As for the crystal system: trigonal. As for the energy relative to the elements, uncorrected: 0.6076 eV per atom. As for the total DFT energy (no corrections): -62.63 eV for the cell shown. The calculation puts the energy relative to the lowest polymorph listed for this composition at 0.344 eV/atom.

***

3.
Compound: CoReNF2
Source: Alexandria via LeMat-Bulk
Functional: meta-GGA SCAN
Structure: single point on PBEsol structure

Geometry as extended XYZ:
```
5
Lattice="4.066 0.000 0.000 0.000 4.066 0.000 0.000 0.000 3.814" Properties=species:S:1:pos:R:3 pbc="T T T"
Co 0.000 0.000 0.000
Re 2.033 2.033 1.907
N 2.033 2.033 0.000
F 0.000 2.033 1.907
F 2.033 0.000 1.907
```

Values from the calculation:
For the magnetization, the calculation gives 2.5 μB per formula unit. As for the crystal system: tetragonal. As for the energy relative to the elements, uncorrected: -0.0863 eV per atom. As for the total DFT energy (no corrections): -105.20 eV for the cell shown.

***

4.
Compound: YTlSb2I
Source: Alexandria via LeMat-Bulk
Functional: meta-GGA SCAN
Structure: single point on PBEsol structure

Geometry as extended XYZ:
```
5
Lattice="5.498 0.000 0.000 0.000 5.498 0.000 0.000 0.000 5.855" Properties=species:S:1:pos:R:3 pbc="T T T"
Y 0.000 0.000 0.000
Tl 2.749 2.749 2.928
Sb 0.000 2.749 2.928
Sb 2.749 0.000 2.928
I 2.749 2.749 0.000
```

Values from the calculation:
For the magnetization, the calculation gives 0.0 μB per formula unit. As for the crystal system: tetragonal. As for the energy relative to the elements, uncorrected: 0.3573 eV per atom. As for the total DFT energy (no corrections): -209.68 eV for the cell shown. The calculation puts the energy relative to the lowest polymorph listed for this composition at 0.504 eV/atom.

***

5.
Compound: BaMgCl2
Source: Alexandria via LeMat-Bulk
Functional: meta-GGA SCAN
Structure: single point on PBEsol structure

Geometry as extended XYZ:
```
4
Lattice="4.086 0.000 0.000 0.000 4.086 0.000 0.000 0.000 6.536" Properties=species:S:1:pos:R:3 pbc="T T T"
Ba 0.000 0.000 0.000
Mg 2.043 2.043 3.959
Cl 0.000 0.000 3.292
Cl 2.043 2.043 1.421
```

Values from the calculation:
For the magnetization, the calculation gives 0.0 μB per formula unit. As for the crystal system: tetragonal. As for the energy relative to the elements, uncorrected: -1.6522 eV per atom. As for the total DFT energy (no corrections): -67.09 eV for the cell shown. The calculation puts the energy relative to the lowest polymorph listed for this composition at 0.000 eV/atom.

***

6.
Compound: MgCd2Ag
Source: Alexandria via LeMat-Bulk
Functional: meta-GGA SCAN
Structure: single point on PBEsol structure

Geometry as extended XYZ:
```
4
Lattice="5.034 -1.630 0.000 5.034 1.630 0.000 -1.379 0.000 4.689" Properties=species:S:1:pos:R:3 pbc="T T T"
Mg 0.000 0.000 0.000
Cd 1.408 0.000 3.479
Cd 7.280 0.000 1.210
Ag 4.344 0.000 2.344
```

Values from the calculation:
For the magnetization, the calculation gives 0.0 μB per formula unit. As for the crystal system: monoclinic. As for the total DFT energy (no corrections): -97.59 eV for the cell shown. The calculation puts the energy relative to the lowest polymorph listed for this composition at 0.022 eV/atom. As for the formation energy: -0.11 eV/atom.

***

7.
Compound: TaTeP2
Source: Alexandria via LeMat-Bulk
Functional: meta-GGA SCAN
Structure: single point on PBEsol structure

Geometry as extended XYZ:
```
4
Lattice="-1.973 1.973 4.430 1.973 -1.973 4.430 1.973 1.973 -4.430" Properties=species:S:1:pos:R:3 pbc="T T T"
Ta 0.000 0.000 0.000
Te 0.000 1.973 2.215
P 1.973 0.000 2.215
P 0.000 0.000 4.430
```

Values from the calculation:
For the magnetization, the calculation gives 0.0 μB per formula unit. As for the crystal system: tetragonal. As for the energy relative to the elements, uncorrected: 0.6271 eV per atom. As for the total DFT energy (no corrections): -122.12 eV for the cell shown.

***

8.
Compound: ZnCu2GeSe2S2
Source: Alexandria via LeMat-Bulk
Functional: meta-GGA SCAN
Structure: single point on PBEsol structure

Geometry as extended XYZ:
```
16
Lattice="7.633 0.000 0.000 0.000 6.584 0.000 0.000 0.000 6.264" Properties=species:S:1:pos:R:3 pbc="T T T"
Zn 0.000 0.956 0.000
Zn 3.816 5.628 3.132
Cu 1.901 2.046 3.236
Cu 1.915 4.537 0.104
Cu 5.718 4.537 0.104
Cu 5.732 2.046 3.236
Ge 0.000 5.525 3.162
Ge 3.816 1.059 0.029
Se 1.904 4.344 3.991
Se 1.912 2.240 0.859
Se 5.721 2.240 0.859
Se 5.729 4.344 3.991
S 0.000 1.064 3.934
S 0.000 5.403 0.886
S 3.816 1.181 4.019
S 3.816 5.520 0.802
```

Values from the calculation:
For the magnetization, the calculation gives 0.0 μB per formula unit. As for the crystal system: orthorhombic. As for the energy relative to the elements, uncorrected: -0.4629 eV per atom. As for the total DFT energy (no corrections): -252.23 eV for the cell shown.